Record 1
# YCl2 (meta-GGA SCAN, single point on PBEsol structure)
# - Magnetic moment: 0.506 μB/f.u.
# - Uncorrected formation energy: -1984.6 meV per atom
# - V: 148.6 Å³/cell
# - Theoretical density: 3.6 g cm⁻³
# - SG: Cmcm
# - N(E_F): 1.86 states/eV/cell
data_YCl2
_chemical_formula_sum 'Y2 Cl4'
_space_group_name_H-M_alt 'P 1'
_space_group_IT_number 1
_space_group_name_Hall 'P 1'
_cell_length_a 3.405
_cell_length_b 4.819
_cell_length_c 9.215
_cell_angle_alpha 90.00
_cell_angle_beta 100.65
_cell_angle_gamma 90.00
loop_
_atom_site_label
_atom_site_fract_x
_atom_site_fract_y
_atom_site_fract_z
Cl1 0.684 0.750 0.369
Cl2 0.449 0.750 0.899
Cl3 0.316 0.250 0.631
Cl4 0.551 0.250 0.101
Y1 0.075 0.750 0.151
Y2 0.925 0.250 0.849

---

Record 2
# MnP2BrO (meta-GGA SCAN, single point on PBEsol structure)
# - Magnetic moment: 3.673 μB/f.u.
# - Uncorrected formation energy: 956.5 meV per atom
# - V: 86.3 Å³/cell
# - Theoretical density: 4.1 g cm⁻³
# - SG: P4/mmm
# - N(E_F): 2.04 states/eV/cell
data_MnP2BrO
_chemical_formula_sum 'Mn1 P2 Br1 O1'
_space_group_name_H-M_alt 'P 1'
_space_group_IT_number 1
_space_group_name_Hall 'P 1'
_cell_length_a 3.621
_cell_length_b 4.883
_cell_length_c 4.883
_cell_angle_alpha 90.00
_cell_angle_beta 90.00
_cell_angle_gamma 90.00
loop_
_atom_site_label
_atom_site_fract_x
_atom_site_fract_y
_atom_site_fract_z
P1 0.000 0.000 0.500
P2 0.000 0.500 0.000
Mn1 0.500 0.500 0.500
O1 0.500 0.000 0.000
Br1 0.000 0.000 0.000

---

Record 3
# RuRh2Cl (meta-GGA SCAN, single point on PBEsol structure)
# - Magnetic moment: 0.002 μB/f.u.
# - Uncorrected formation energy: 769.8 meV per atom
# - V: 55.6 Å³/cell
# - Theoretical density: 10.2 g cm⁻³
# - SG: Cmmm
# - Energy above the lowest structure with this stoichiometry: 1.788 eV per formula unit
# - N(E_F): 5.63 states/eV/cell
data_RuRh2Cl
_chemical_formula_sum 'Ru1 Rh2 Cl1'
_space_group_name_H-M_alt 'P 1'
_space_group_IT_number 1
_space_group_name_Hall 'P 1'
_cell_length_a 2.731
_cell_length_b 4.656
_cell_length_c 4.656
_cell_angle_alpha 110.12
_cell_angle_beta 90.00
_cell_angle_gamma 90.00
loop_
_atom_site_label
_atom_site_fract_x
_atom_site_fract_y
_atom_site_fract_z
Cl1 0.500 0.500 0.500
Rh1 0.000 0.500 0.000
Rh2 0.000 0.000 0.500
Ru1 0.500 0.000 0.000

---

Record 4
# La4CoCu (meta-GGA SCAN, single point on PBEsol structure)
# - Magnetic moment: 2.419 μB/f.u.
# - V: 162.8 Å³/cell
# - Theoretical density: 6.9 g cm⁻³
# - SG: F-43m
# - N(E_F): 7.50 states/eV/cell
# - Formation energy: 880 meV/atom
data_La4CoCu
_chemical_formula_sum 'La4 Co1 Cu1'
_space_group_name_H-M_alt 'P 1'
_space_group_IT_number 1
_space_group_name_Hall 'P 1'
_cell_length_a 6.129
_cell_length_b 6.129
_cell_length_c 6.129
_cell_angle_alpha 60.00
_cell_angle_beta 60.00
_cell_angle_gamma 60.00
loop_
_atom_site_label
_atom_site_fract_x
_atom_site_fract_y
_atom_site_fract_z
Co1 0.750 0.750 0.750
Cu1 0.000 0.000 0.000
La1 0.874 0.375 0.375
La2 0.375 0.375 0.375
La3 0.375 0.375 0.874
La4 0.375 0.874 0.375

---

Record 5
# Al2CuSb (meta-GGA SCAN, single point on PBEsol structure)
# - Magnetic moment: 0.000 μB/f.u.
# - Uncorrected formation energy: 242.1 meV per atom
# - V: 71.4 Å³/cell
# - Theoretical density: 5.6 g cm⁻³
# - SG: Cmmm
# - N(E_F): 1.87 states/eV/cell
data_Al2CuSb
_chemical_formula_sum 'Al2 Cu1 Sb1'
_space_group_name_H-M_alt 'P 1'
_space_group_IT_number 1
_space_group_name_Hall 'P 1'
_cell_length_a 3.240
_cell_length_b 4.864
_cell_length_c 4.864
_cell_angle_alpha 111.22
_cell_angle_beta 90.00
_cell_angle_gamma 90.00
loop_
_atom_site_label
_atom_site_fract_x
_atom_site_fract_y
_atom_site_fract_z
Sb1 0.500 0.500 0.500
Al1 0.000 0.500 0.000
Al2 0.000 0.000 0.500
Cu1 0.500 0.000 0.000

---

Record 6
# Cr2CuMo (meta-GGA SCAN, single point on PBEsol structure)
# - Magnetic moment: 0.000 μB/f.u.
# - V: 48.9 Å³/cell
# - Theoretical density: 8.9 g cm⁻³
# - SG: P4/mmm
# - Energy above the lowest structure with this stoichiometry: 0.163 eV per formula unit
# - N(E_F): 2.69 states/eV/cell
# - Formation energy: 281 meV/atom
data_Cr2CuMo
_chemical_formula_sum 'Cr2 Cu1 Mo1'
_space_group_name_H-M_alt 'P 1'
_space_group_IT_number 1
_space_group_name_Hall 'P 1'
_cell_length_a 3.518
_cell_length_b 3.729
_cell_length_c 3.729
_cell_angle_alpha 90.00
_cell_angle_beta 90.00
_cell_angle_gamma 90.00
loop_
_atom_site_label
_atom_site_fract_x
_atom_site_fract_y
_atom_site_fract_z
Cr1 0.000 0.000 0.500
Cr2 0.000 0.500 0.000
Cu1 0.500 0.500 0.500
Mo1 0.500 0.000 0.000

---

Record 7
# La2Ta (meta-GGA SCAN, single point on PBEsol structure)
# - Magnetic moment: 0.000 μB/f.u.
# - V: 162.3 Å³/cell
# - Theoretical density: 9.4 g cm⁻³
# - SG: C2/c
# - Energy above the lowest structure with this stoichiometry: 0.124 eV per formula unit
# - N(E_F): 6.80 states/eV/cell
# - Formation energy: 435 meV/atom
data_La2Ta
_chemical_formula_sum 'La4 Ta2'
_space_group_name_H-M_alt 'P 1'
_space_group_IT_number 1
_space_group_name_Hall 'P 1'
_cell_length_a 6.045
_cell_length_b 6.045
_cell_length_c 6.072
_cell_angle_alpha 94.11
_cell_angle_beta 118.75
_cell_angle_gamma 116.42
loop_
_atom_site_label
_atom_site_fract_x
_atom_site_fract_y
_atom_site_fract_z
La1 0.880 0.052 0.175
La2 0.377 0.705 0.325
La3 0.623 0.295 0.675
La4 0.120 0.948 0.825
Ta1 0.749 0.499 0.250
Ta2 0.251 0.501 0.750

---

Record 8
# LiNi2W (meta-GGA SCAN, single point on PBEsol structure)
# - Magnetic moment: 0.000 μB/f.u.
# - V: 48.3 Å³/cell
# - Theoretical density: 10.6 g cm⁻³
# - SG: C2/m
# - N(E_F): 3.28 states/eV/cell
# - Formation energy: 300 meV/atom
data_LiNi2W
_chemical_formula_sum 'Li1 Ni2 W1'
_space_group_name_H-M_alt 'P 1'
_space_group_IT_number 1
_space_group_name_Hall 'P 1'
_cell_length_a 2.538
_cell_length_b 4.275
_cell_length_c 4.694
_cell_angle_alpha 96.83
_cell_angle_beta 90.00
_cell_angle_gamma 107.27
loop_
_atom_site_label
_atom_site_fract_x
_atom_site_fract_y
_atom_site_fract_z
Li1 0.500 0.000 0.000
Ni1 0.752 0.503 0.751
Ni2 0.248 0.497 0.249
W1 0.000 0.000 0.500

---

Record 9
# CrSb2Te (meta-GGA SCAN, single point on PBEsol structure)
# - Magnetic moment: 4.239 μB/f.u.
# - Uncorrected formation energy: 303.8 meV per atom
# - V: 94.9 Å³/cell
# - Theoretical density: 7.4 g cm⁻³
# - SG: P4/mmm
# - Energy above the lowest structure with this stoichiometry: 0.494 eV per formula unit
# - N(E_F): 2.01 states/eV/cell
data_CrSb2Te
_chemical_formula_sum 'Cr1 Sb2 Te1'
_space_group_name_H-M_alt 'P 1'
_space_group_IT_number 1
_space_group_name_Hall 'P 1'
_cell_length_a 3.477
_cell_length_b 5.223
_cell_length_c 5.223
_cell_angle_alpha 90.00
_cell_angle_beta 90.00
_cell_angle_gamma 90.00
loop_
_atom_site_label
_atom_site_fract_x
_atom_site_fract_y
_atom_site_fract_z
Cr1 0.500 0.000 0.000
Sb1 0.000 0.000 0.500
Sb2 0.000 0.500 0.000
Te1 0.500 0.500 0.500

---

Record 10
# In2SiOs (meta-GGA SCAN, single point on PBEsol structure)
# - Magnetic moment: 0.000 μB/f.u.
# - Uncorrected formation energy: 776.9 meV per atom
# - V: 73.3 Å³/cell
# - Theoretical density: 10.1 g cm⁻³
# - SG: Cmmm
# - N(E_F): 2.21 states/eV/cell
data_In2SiOs
_chemical_formula_sum 'In2 Si1 Os1'
_space_group_name_H-M_alt 'P 1'
_space_group_IT_number 1
_space_group_name_Hall 'P 1'
_cell_length_a 2.923
_cell_length_b 2.923
_cell_length_c 9.589
_cell_angle_alpha 90.00
_cell_angle_beta 90.00
_cell_angle_gamma 116.56
loop_
_atom_site_label
_atom_site_fract_x
_atom_site_fract_y
_atom_site_fract_z
In1 0.000 0.000 0.265
In2 0.000 0.000 0.735
Os1 0.500 0.500 0.500
Si1 0.500 0.500 0.000

---

Record 11
# KLi2Tl2 (meta-GGA SCAN, single point on PBEsol structure)
# - Magnetic moment: 0.000 μB/f.u.
# - V: 254.6 Å³/cell
# - Theoretical density: 6.0 g cm⁻³
# - SG: P4/mbm
# - N(E_F): 3.79 states/eV/cell
# - Formation energy: -224 meV/atom
data_KLi2Tl2
_chemical_formula_sum 'K2 Li4 Tl4'
_space_group_name_H-M_alt 'P 1'
_space_group_IT_number 1
_space_group_name_Hall 'P 1'
_cell_length_a 3.246
_cell_length_b 8.858
_cell_length_c 8.858
_cell_angle_alpha 90.00
_cell_angle_beta 90.00
_cell_angle_gamma 90.00
loop_
_atom_site_label
_atom_site_fract_x
_atom_site_fract_y
_atom_site_fract_z
Tl1 0.000 0.377 0.877
Tl2 0.000 0.877 0.623
Tl3 0.000 0.623 0.123
Tl4 0.000 0.123 0.377
K1 0.000 0.000 0.000
K2 0.000 0.500 0.500
Li1 0.500 0.169 0.669
Li2 0.500 0.669 0.831
Li3 0.500 0.831 0.331
Li4 0.500 0.331 0.169

---

Record 12
# AgSb (meta-GGA SCAN, single point on PBEsol structure)
# - Magnetic moment: 0.000 μB/f.u.
# - Uncorrected formation energy: 83.2 meV per atom
# - V: 93.5 Å³/cell
# - Theoretical density: 8.2 g cm⁻³
# - SG: C2/m
# - Energy above the lowest structure with this stoichiometry: 0.022 eV per formula unit
# - N(E_F): 1.16 states/eV/cell
data_AgSb
_chemical_formula_sum 'Ag2 Sb2'
_space_group_name_H-M_alt 'P 1'
_space_group_IT_number 1
_space_group_name_Hall 'P 1'
_cell_length_a 3.258
_cell_length_b 4.557
_cell_length_c 6.698
_cell_angle_alpha 103.70
_cell_angle_beta 104.08
_cell_angle_gamma 90.00
loop_
_atom_site_label
_atom_site_fract_x
_atom_site_fract_y
_atom_site_fract_z
Sb1 0.615 0.024 0.230
Sb2 0.385 0.976 0.770
Ag1 0.165 0.561 0.329
Ag2 0.835 0.439 0.671

---

Record 13
# KCo2AuN (meta-GGA SCAN, single point on PBEsol structure)
# - Magnetic moment: 5.450 μB/f.u.
# - Uncorrected formation energy: 3031.2 meV per atom
# - V: 98.8 Å³/cell
# - Theoretical density: 6.2 g cm⁻³
# - SG: P4/mmm
# - N(E_F): 1.86 states/eV/cell
data_KCo2AuN
_chemical_formula_sum 'K1 Co2 Au1 N1'
_space_group_name_H-M_alt 'P 1'
_space_group_IT_number 1
_space_group_name_Hall 'P 1'
_cell_length_a 4.350
_cell_length_b 4.350
_cell_length_c 5.221
_cell_angle_alpha 90.00
_cell_angle_beta 90.00
_cell_angle_gamma 90.00
loop_
_atom_site_label
_atom_site_fract_x
_atom_site_fract_y
_atom_site_fract_z
Co1 0.000 0.500 0.000
Co2 0.500 0.000 0.000
K1 0.000 0.000 0.000
Au1 0.000 0.000 0.500
N1 0.500 0.500 0.500

---

Record 14
# ZnCu2Rh (meta-GGA SCAN, single point on PBEsol structure)
# - Magnetic moment: 0.000 μB/f.u.
# - V: 49.5 Å³/cell
# - Theoretical density: 9.9 g cm⁻³
# - SG: I4/mmm
# - N(E_F): 2.09 states/eV/cell
# - Formation energy: -116 meV/atom
data_ZnCu2Rh
_chemical_formula_sum 'Zn1 Cu2 Rh1'
_space_group_name_H-M_alt 'P 1'
_space_group_IT_number 1
_space_group_name_Hall 'P 1'
_cell_length_a 3.695
_cell_length_b 3.695
_cell_length_c 4.472
_cell_angle_alpha 114.40
_cell_angle_beta 114.40
_cell_angle_gamma 90.00
loop_
_atom_site_label
_atom_site_fract_x
_atom_site_fract_y
_atom_site_fract_z
Zn1 0.000 0.000 0.000
Rh1 0.500 0.500 0.000
Cu1 0.750 0.250 0.500
Cu2 0.250 0.750 0.500

---

Record 15
# Rb3SiB (meta-GGA SCAN, single point on PBEsol structure)
# - Magnetic moment: 5.136 μB/f.u.
# - Uncorrected formation energy: 1129.2 meV per atom
# - V: 230.5 Å³/cell
# - Theoretical density: 2.1 g cm⁻³
# - SG: Pm-3m
# - N(E_F): 5.80 states/eV/cell
data_Rb3SiB
_chemical_formula_sum 'Rb3 Si1 B1'
_space_group_name_H-M_alt 'P 1'
_space_group_IT_number 1
_space_group_name_Hall 'P 1'
_cell_length_a 6.131
_cell_length_b 6.131
_cell_length_c 6.131
_cell_angle_alpha 90.00
_cell_angle_beta 90.00
_cell_angle_gamma 90.00
loop_
_atom_site_label
_atom_site_fract_x
_atom_site_fract_y
_atom_site_fract_z
Si1 0.500 0.500 0.500
B1 0.000 0.000 0.000
Rb1 0.000 0.500 0.000
Rb2 0.000 0.000 0.500
Rb3 0.500 0.000 0.000

---

Record 16
# BaTlSN2 (meta-GGA SCAN, single point on PBEsol structure)
# - Magnetic moment: 5.011 μB/f.u.
# - Uncorrected formation energy: 1045.6 meV per atom
# - V: 157.1 Å³/cell
# - Theoretical density: 4.2 g cm⁻³
# - SG: P4/mmm
# - N(E_F): 2.84 states/eV/cell
data_BaTlSN2
_chemical_formula_sum 'Ba1 Tl1 S1 N2'
_space_group_name_H-M_alt 'P 1'
_space_group_IT_number 1
_space_group_name_Hall 'P 1'
_cell_length_a 5.135
_cell_length_b 5.135
_cell_length_c 5.959
_cell_angle_alpha 90.00
_cell_angle_beta 90.00
_cell_angle_gamma 90.00
loop_
_atom_site_label
_atom_site_fract_x
_atom_site_fract_y
_atom_site_fract_z
S1 0.000 0.000 0.500
Tl1 0.500 0.500 0.500
Ba1 0.000 0.000 0.000
N1 0.000 0.500 0.000
N2 0.500 0.000 0.000

---

Record 17
# YScCr2Si (meta-GGA SCAN, single point on PBEsol structure)
# - Magnetic moment: 6.494 μB/f.u.
# - Uncorrected formation energy: 1740.3 meV per atom
# - V: 106.6 Å³/cell
# - Theoretical density: 4.1 g cm⁻³
# - SG: P4/mmm
# - N(E_F): 3.96 states/eV/cell
data_YScCr2Si
_chemical_formula_sum 'Y1 Sc1 Cr2 Si1'
_space_group_name_H-M_alt 'P 1'
_space_group_IT_number 1
_space_group_name_Hall 'P 1'
_cell_length_a 4.590
_cell_length_b 4.590
_cell_length_c 5.060
_cell_angle_alpha 90.00
_cell_angle_beta 90.00
_cell_angle_gamma 90.00
loop_
_atom_site_label
_atom_site_fract_x
_atom_site_fract_y
_atom_site_fract_z
Y1 0.000 0.000 0.000
Cr1 0.000 0.500 0.000
Cr2 0.500 0.000 0.000
Si1 0.500 0.500 0.500
Sc1 0.000 0.000 0.500

---

Record 18
# MnOF (meta-GGA SCAN, single point on PBEsol structure)
# - Magnetic moment: 4.000 μB/f.u.
# - Uncorrected formation energy: -2289.2 meV per atom
# - V: 35.9 Å³/cell
# - Theoretical density: 4.2 g cm⁻³
# - SG: Cm
# - N(E_F): 0.64 states/eV/cell
data_MnOF
_chemical_formula_sum 'Mn1 O1 F1'
_space_group_name_H-M_alt 'P 1'
_space_group_IT_number 1
_space_group_name_Hall 'P 1'
_cell_length_a 2.903
_cell_length_b 3.174
_cell_length_c 4.652
_cell_angle_alpha 75.17
_cell_angle_beta 71.82
_cell_angle_gamma 62.78
loop_
_atom_site_label
_atom_site_fract_x
_atom_site_fract_y
_atom_site_fract_z
Mn1 0.001 0.034 0.965
O1 0.734 0.731 0.801
F1 0.266 0.235 0.234

---

Record 19
# Fe2PtRh (meta-GGA SCAN, single point on PBEsol structure)
# - Magnetic moment: 7.242 μB/f.u.
# - V: 51.6 Å³/cell
# - Theoretical density: 13.2 g cm⁻³
# - SG: P4/mmm
# - N(E_F): 3.41 states/eV/cell
# - Formation energy: -276 meV/atom
data_Fe2PtRh
_chemical_formula_sum 'Fe2 Pt1 Rh1'
_space_group_name_H-M_alt 'P 1'
_space_group_IT_number 1
_space_group_name_Hall 'P 1'
_cell_length_a 2.661
_cell_length_b 2.661
_cell_length_c 7.286
_cell_angle_alpha 90.00
_cell_angle_beta 90.00
_cell_angle_gamma 90.00
loop_
_atom_site_label
_atom_site_fract_x
_atom_site_fract_y
_atom_site_fract_z
Rh1 0.000 0.000 0.500
Fe1 0.500 0.500 0.744
Fe2 0.500 0.500 0.256
Pt1 0.000 0.000 0.000

---

Record 20
# LaAlFe3 (meta-GGA SCAN, single point on PBEsol structure)
# - Magnetic moment: 6.245 μB/f.u.
# - V: 92.0 Å³/cell
# - Theoretical density: 6.0 g cm⁻³
# - SG: Pm-3m
# - N(E_F): 4.10 states/eV/cell
# - Formation energy: 1744 meV/atom
data_LaAlFe3
_chemical_formula_sum 'La1 Al1 Fe3'
_space_group_name_H-M_alt 'P 1'
_space_group_IT_number 1
_space_group_name_Hall 'P 1'
_cell_length_a 4.515
_cell_length_b 4.515
_cell_length_c 4.515
_cell_angle_alpha 90.00
_cell_angle_beta 90.00
_cell_angle_gamma 90.00
loop_
_atom_site_label
_atom_site_fract_x
_atom_site_fract_y
_atom_site_fract_z
Al1 0.500 0.500 0.500
Fe1 0.000 0.500 0.000
Fe2 0.000 0.000 0.500
Fe3 0.500 0.000 0.000
La1 0.000 0.000 0.000